## Pu3Si2Pt4 (PBE)

Data for crystalline Pu3Si2Pt4 at its relaxed geometry.

DOS(E_F): 34.03 states/eV/f.u.
Space-group type: C2/m
Uncorrected energy: -9.525 eV per atom
Magnetic moment: 15.51 μB per formula unit
Density: 14.7 g/cm³
E_form (uncorrected): -0.858 eV/atom

Cell lengths 5.6589, 5.6589, 8.5583 Å; angles 111.42, 111.42, 44.91 degrees
Element x y z (fractional)
Pu 0.0000 0.0000 0.0000
Pu 0.3707 0.3707 0.3130
Pu 0.6293 0.6293 0.6870
Si 0.3357 0.3357 0.6722
Si 0.6643 0.6643 0.3278
Pt 0.1017 0.1017 0.4144
Pt 0.2834 0.2834 0.9227
Pt 0.7166 0.7166 0.0773
Pt 0.8983 0.8983 0.5856